Record 1
Density functional theory data (meta-GGA SCAN) for HfAlF3 at its PBEsol-relaxed geometry.

Cell: 4.074 4.074 4.074 Å, 90.00 90.00 90.00°
Site moments in Bohr magnetons follow the coordinates.
Fractional positions:
F 0.000 0.500 0.000  0.04
F 0.000 0.000 0.500  0.04
F 0.500 0.000 0.000  0.04
Al 0.000 0.000 0.000  -0.04
Hf 0.500 0.500 0.500  1.27

Computed properties:
raw formation energy: -1.2799 eV/atom

Record 2
Density functional theory data (meta-GGA SCAN) for HfAlIr2F at its PBEsol-relaxed geometry.

Cell: 3.910 4.477 4.477 Å, 90.00 90.00 90.00°
Fractional positions:
Al 0.500 0.500 0.500
Ir 0.000 0.000 0.500
Ir 0.000 0.500 0.000
F 0.000 0.000 0.000
Hf 0.500 0.000 0.000

Computed properties:
raw formation energy: 0.0467 eV/atom

Record 3
Density functional theory data (meta-GGA SCAN) for HfAlSiF2 at its PBEsol-relaxed geometry.

Cell: 3.936 3.936 5.321 Å, 90.00 90.00 90.00°
Fractional positions:
F 0.500 0.000 0.000
F 0.000 0.500 0.000
Al 0.000 0.000 0.500
Hf 0.500 0.500 0.500
Si 0.000 0.000 0.000

Computed properties:
raw formation energy: -0.5912 eV/atom

Record 4
Density functional theory data (meta-GGA SCAN) for AlHgF2 at its PBEsol-relaxed geometry.

Cell: 2.978 2.978 8.574 Å, 80.00 80.00 60.00°
Fractional positions:
Al 0.000 0.000 0.000
F 0.068 0.068 0.797
F 0.932 0.932 0.203
Hg 0.500 0.500 0.500

Computed properties:
raw formation energy: -1.7381 eV/atom

Record 5
Density functional theory data (meta-GGA SCAN) for AlHg3O2F6 at its PBEsol-relaxed geometry.

Cell: 5.454 5.454 5.454 Å, 82.61 82.61 82.61°
Site moments in Bohr magnetons follow the coordinates.
Fractional positions:
F 0.143 0.782 0.782  0.02
F 0.782 0.143 0.782  0.02
F 0.218 0.857 0.218  0.02
F 0.857 0.218 0.218  0.02
F 0.782 0.782 0.143  0.02
F 0.218 0.218 0.857  0.02
Hg 0.500 0.000 0.500  0.06
Hg 0.500 0.500 0.000  0.06
Hg 0.000 0.500 0.500  0.06
Al 0.000 0.000 0.000  0.00
O 0.648 0.648 0.648  0.34
O 0.352 0.352 0.352  0.34

Computed properties:
raw formation energy: -1.8624 eV/atom

Record 6
Density functional theory data (meta-GGA SCAN) for AlHgSF2 at its PBEsol-relaxed geometry.

Cell: 4.060 4.060 5.049 Å, 90.00 90.00 90.00°
Fractional positions:
S 0.000 0.000 0.000
Hg 0.500 0.500 0.500
F 0.500 0.000 0.000
F 0.000 0.500 0.000
Al 0.000 0.000 0.500

Computed properties:
raw formation energy: -0.5078 eV/atom

The calculation returns the following N(E_F) values, one per record and in order: 2.1; 3.3; 2.0; 1.2; 5.9; 1.9 states/eV per cell.